The following is a PBE calculation of Pm6AlSi2 after structural relaxation, from Alexandria.

```
9
Lattice="8.1067 0.0000 0.0000 -4.0534 7.0206 0.0000 0.0000 0.0000 4.3680" Properties=species:S:1:pos:R:3 pbc="T T T"
Pm -1.1108 1.9239 0.0000
Pm -2.3832 4.1278 2.1840
Pm 2.2215 0.0000 0.0000
Pm 1.6702 2.8929 2.1840
Pm 4.7664 0.0000 2.1840
Pm 2.9426 5.0968 0.0000
Al 0.0000 0.0000 2.1840
Si 0.0000 4.6804 0.0000
Si 4.0534 2.3402 0.0000
```

Computed properties:
**Offset from the most stable computed form**: 60 meV per atom
**Total energy**: -5.18 eV per atom
**Calculated volume**: 248.60 Å³/f.u.
**Size of the total moment**: 0.001 μB/atom

***

The following is a PBE calculation of HgPPd3 after structural relaxation, from Alexandria.

```
5
Lattice="4.9934 0.0000 0.0000 0.0000 4.9934 0.0000 0.0000 0.0000 4.9934" Properties=species:S:1:pos:R:3 pbc="T T T"
Hg 0.0000 0.0000 0.0000
P 2.4967 2.4967 2.4967
Pd 0.0000 0.0000 2.4967
Pd 0.0000 2.4967 0.0000
Pd 2.4967 0.0000 0.0000
```

Computed properties:
**Offset from the most stable computed form**: 1509 meV per atom
**Total energy**: -2.99 eV per atom
**Calculated volume**: 124.50 Å³/f.u.
**Size of the total moment**: 0.000 μB/atom

***

The following is a PBE calculation of K2TaTlTe4 after structural relaxation, from Alexandria.

```
8
Lattice="-4.4701 4.4701 4.4232 4.4701 -4.4701 4.4232 4.4701 4.4701 -4.4232" Properties=species:S:1:pos:R:3 pbc="T T T"
K 0.0000 0.0000 0.0000
K 0.0000 4.4701 2.2116
Ta 0.0000 0.0000 4.4232
Tl 4.4701 0.0000 2.2116
Te 2.8745 2.9810 -1.4709
Te 5.9591 2.8745 1.4709
Te 1.5956 1.4891 2.9523
Te -1.4891 1.5956 5.8942
```

Computed properties:
**Total energy**: -4.19 eV per atom
**Calculated volume**: 353.53 Å³/f.u.
**Size of the total moment**: 0.000 μB/atom